1.
# Pm3Nd2Sn3

A geometry-optimized Pm3Nd2Sn3 structure (GGA-PBE, Alexandria).

```
Pm3Nd2Sn3
1.0
-5.6211 -3.5591 -1.4606
5.2087 -6.6957 -3.7301
-2.1599 -0.2852 9.0073
Nd Sn Pm
4 6 6
Cartesian
2.7525 -4.5589 0.5157
-2.5142 -4.2016 4.0312
-0.0581 -6.3384 -0.2146
0.2963 -2.4220 4.7615
-5.5265 -2.8424 4.3705
-1.0550 -6.7325 -3.3590
0.6426 -3.5223 -1.8317
0.4449 -5.1261 2.8372
-2.2545 -1.0019 3.1762
-3.0172 -5.4140 0.9793
-1.9015 -7.9686 2.9105
-0.6708 -2.5714 0.9061
-2.9611 -4.2823 -1.9940
2.5487 -5.9725 -3.1967
-4.7362 -2.7380 1.0744
-3.0448 -1.1063 6.4723
```

Values from the calculation:
The formation energy comes out at -695 meV/atom. Its magnetic moment is 0.00 Bohr magnetons per cell. The calculated density comes out at 7.08 g/cm³.

2.
# NdHfSe4

A geometry-optimized NdHfSe4 structure (GGA-PBE, Alexandria).

```
NdHfSe4
1.0
6.7285 0.0000 0.0000
0.0000 7.3830 -0.1042
0.0000 -3.0165 7.2890
Hf Se Nd
2 8 2
Cartesian
0.0000 0.0000 0.0000
3.3642 3.6915 -0.0521
2.1858 0.8217 4.9151
5.5500 -0.1466 2.3218
4.5427 3.5449 2.2697
5.3127 2.2803 6.2512
1.9485 5.7777 0.8815
1.4157 2.0862 0.9336
4.7800 -1.4112 6.3033
1.1784 4.5132 4.8630
3.3642 -1.5082 3.6445
0.0000 2.1833 3.5924
```

Values from the calculation:
Its magnetic moment is 0.00 Bohr magnetons per cell. The calculated density comes out at 5.89 g/cm³. The calculation puts the electronic total energy at -72.04 eV for the cell shown.

3.
# ZnAgSb2I

A geometry-optimized ZnAgSb2I structure (GGA-PBE, Alexandria).

```
ZnAgSb2I
1.0
5.1919 0.0000 0.0000
0.0000 5.1919 0.0000
0.0000 0.0000 5.8116
Zn Sb I Ag
1 2 1 1
Cartesian
0.0000 0.0000 0.0000
0.0000 2.5960 0.0000
2.5960 0.0000 0.0000
0.0000 0.0000 2.9058
2.5960 2.5960 2.9058
```

Values from the calculation:
For the energy above the lowest structure with this stoichiometry, the calculation gives 0 meV per atom. Its magnetic moment is 0.00 Bohr magnetons per cell. The calculated density comes out at 5.76 g/cm³.

4.
# CaAuCl2

A geometry-optimized CaAuCl2 structure (GGA-PBE, Alexandria).

```
CaAuCl2
1.0
-9.6896 0.2125 4.5559
-8.1507 -2.7206 6.3917
-7.5084 0.8129 7.5929
Ca Cl Au
1 2 1
Cartesian
-19.0115 -1.2714 13.9054
-11.8286 -0.7910 8.6517
-0.8457 -0.0566 0.6186
-6.3372 -0.4238 4.6351
```

Values from the calculation:
For the energy above the lowest structure with this stoichiometry, the calculation gives 0 meV per atom. Its magnetic moment is 0.00 Bohr magnetons per cell. The calculated density comes out at 3.93 g/cm³.